No. 1
Density functional theory data (PBE) for crystalline MgMo2As at its relaxed geometry.

a = 8.841 Å, b = 8.841 Å, c = 8.841 Å
α = 19.97°, β = 19.97°, γ = 19.97°
Sites, in units of the cell vectors:
As  0.508  0.508  0.508
Mo  0.251  0.251  0.251
Mo  0.992  0.992  0.992
Mg  0.748  0.748  0.748

ΔH_f (0 K)   11.6 kJ per mole of atoms
E above lowest polymorph   45 kJ/mol of formula units

---

No. 2
Density functional theory data (PBE) for crystalline HgBi2Br2 at its relaxed geometry.

a = 9.767 Å, b = 9.767 Å, c = 3.335 Å
α = 90.00°, β = 90.00°, γ = 90.00°
Sites, in units of the cell vectors:
Br  0.377  0.877  0.000
Br  0.123  0.377  0.000
Br  0.623  0.123  0.000
Br  0.877  0.623  0.000
Bi  0.304  0.196  0.500
Bi  0.196  0.696  0.500
Bi  0.696  0.804  0.500
Bi  0.804  0.304  0.500
Hg  0.000  0.000  0.000
Hg  0.500  0.500  0.000

E above lowest polymorph   161 kJ/mol of formula units
Energy relative to the elements, uncorrected   82.4 meV/atom

---

No. 3
Density functional theory data (PBE) for crystalline CsNd2MnTe4 at its relaxed geometry.

a = 4.530 Å, b = 8.363 Å, c = 15.877 Å
α = 90.00°, β = 90.00°, γ = 105.71°
Each line ends with the local moment (μB).
Sites, in units of the cell vectors:
Te  0.426  0.851  0.750  0.03
Te  0.574  0.149  0.250  0.03
Te  0.000  0.000  0.000  0.01
Te  0.738  0.476  0.890  0.03
Te  0.738  0.476  0.610  0.03
Te  0.000  0.000  0.500  0.01
Te  0.262  0.524  0.110  0.03
Te  0.262  0.524  0.390  0.03
Nd  0.369  0.738  0.941  -0.05
Nd  0.631  0.262  0.059  -0.05
Nd  0.631  0.262  0.441  -0.05
Nd  0.369  0.738  0.559  -0.05
Cs  0.893  0.786  0.250  0.00
Cs  0.107  0.214  0.750  0.00
Mn  0.832  0.663  0.750  3.87
Mn  0.168  0.337  0.250  3.87

Energy relative to the elements, uncorrected   -1111.1 meV/atom

---

no.,V (A^3/atom),magnetization (μB per cell),DFT total energy (eV/atom)
1,17.63,0.00,-6.856
2,31.81,0.00,-2.200
3,36.19,8.46,-5.127